{"formula": "Li2Ni3WO8", "functional": "PBE with a Hubbard U", "state": "relaxed", "energy_ev_per_cell": -314.306, "polymorph_energy_mev_per_atom": 25.4, "lattice": [[8.5267, 0.0000, 0.0000], [0.0000, 8.5267, 0.0000], [0.0000, 0.0000, 8.2138]], "species": ["Li", "Li", "Li", "Li", "Li", "Li", "Li", "Li", "Ni", "Ni", "Ni", "Ni", "Ni", "Ni", "Ni", "Ni", "Ni", "Ni", "Ni", "Ni", "W", "W", "W", "W", "O", "O", "O", "O", "O", "O", "O", "O", "O", "O", "O", "O", "O", "O", "O", "O", "O", "O", "O", "O", "O", "O", "O", "O", "O", "O", "O", "O", "O", "O", "O", "O"], "frac_coords": [[0.0010, 0.2569, 0.3804], [0.2431, 0.5010, 0.1304], [0.2569, 0.0010, 0.6196], [0.4990, 0.7569, 0.3696], [0.5010, 0.2431, 0.8696], [0.7431, 0.9990, 0.1196], [0.7569, 0.4990, 0.6304], [0.9990, 0.7431, 0.8804], [0.1224, 0.3776, 0.7525], [0.1224, 0.6224, 0.5025], [0.1306, 0.8694, 0.2500], [0.3694, 0.3694, 0.5000], [0.3776, 0.1224, 0.2475], [0.3776, 0.8776, 0.9975], [0.6224, 0.1224, 0.4975], [0.6224, 0.8776, 0.7475], [0.6306, 0.6306, 0.0000], [0.8694, 0.1306, 0.7500], [0.8776, 0.3776, 0.0025], [0.8776, 0.6224, 0.2525], [0.1219, 0.1219, 0.0000], [0.3781, 0.6219, 0.7500], [0.6219, 0.3781, 0.2500], [0.8781, 0.8781, 0.5000], [0.1045, 0.6310, 0.2722], [0.1054, 0.8632, 0.5002], [0.1232, 0.3563, 0.9865], [0.1239, 0.1323, 0.7651], [0.1310, 0.3955, 0.5222], [0.1323, 0.1239, 0.2349], [0.1368, 0.8946, 0.9998], [0.1437, 0.6232, 0.7365], [0.3563, 0.1232, 0.0135], [0.3632, 0.3946, 0.7502], [0.3677, 0.6239, 0.5151], [0.3690, 0.8955, 0.2278], [0.3761, 0.6323, 0.9849], [0.3768, 0.8563, 0.7635], [0.3955, 0.1310, 0.4778], [0.3946, 0.3632, 0.2498], [0.6054, 0.6368, 0.7498], [0.6045, 0.8690, 0.9778], [0.6232, 0.1437, 0.2635], [0.6239, 0.3677, 0.4849], [0.6310, 0.1045, 0.7278], [0.6323, 0.3761, 0.0151], [0.6368, 0.6054, 0.2502], [0.6437, 0.8768, 0.5135], [0.8563, 0.3768, 0.2365], [0.8632, 0.1054, 0.4998], [0.8677, 0.8761, 0.7349], [0.8690, 0.6045, 0.0222], [0.8761, 0.8677, 0.2651], [0.8768, 0.6437, 0.4865], [0.8946, 0.1368, 0.0002], [0.8955, 0.3690, 0.7722]]}